VASP calculation (PBEsol) on a relaxed VInO4 crystal.

The structure in CIF format:
```
data_VInO4
_cell_length_a 10.310
_cell_length_b 9.439
_cell_length_c 7.064
_cell_angle_alpha 90.00
_cell_angle_beta 104.87
_cell_angle_gamma 90.00
_symmetry_space_group_name_H-M 'C 1 2/m 1'
_symmetry_Int_Tables_number 12
loop_
_symmetry_equiv_pos_as_xyz
'x,y,z'
'-x,-y,-z'
'-x,y,-z'
'x,-y,z'
'x+1/2,y+1/2,z'
'-x+1/2,-y+1/2,-z'
'-x+1/2,y+1/2,-z'
'x+1/2,-y+1/2,z'
loop_
_atom_site_label
_atom_site_fract_x
_atom_site_fract_y
_atom_site_fract_z
V1 0.000 0.248 0.000
V2 0.226 0.000 0.594
In1 0.000 0.313 0.500
In2 0.211 0.500 0.869
O1 0.048 0.345 0.813
O2 0.133 0.150 0.108
O3 0.139 0.149 0.524
O4 0.141 0.500 0.539
O5 0.208 0.500 0.163
```

Calculated values
The value obtained for the uncorrected energy is -7.6284 eV/atom.

***

VASP calculation (PBEsol) on a relaxed YAlMo2 crystal.

The structure in CIF format:
```
data_YAlMo2
_cell_length_a 3.277
_cell_length_b 4.743
_cell_length_c 9.201
_cell_angle_alpha 90.00
_cell_angle_beta 90.00
_cell_angle_gamma 90.00
_symmetry_space_group_name_H-M 'C m m 2'
_symmetry_Int_Tables_number 35
loop_
_symmetry_equiv_pos_as_xyz
'x,y,z'
'-x,-y,z'
'-x,y,z'
'x,-y,z'
'x+1/2,y+1/2,z'
'-x+1/2,-y+1/2,z'
'-x+1/2,y+1/2,z'
'x+1/2,-y+1/2,z'
loop_
_atom_site_label
_atom_site_fract_x
_atom_site_fract_y
_atom_site_fract_z
Y1 0.000 0.000 0.000
Al1 0.000 0.500 0.286
Mo1 0.000 0.000 0.516
Mo2 0.000 0.500 0.731
```

Calculated values
The value obtained for the formation energy is 0.663 eV per formula unit.

***

VASP calculation (PBEsol) on a relaxed AlCu5Si2 crystal.

The structure in CIF format:
```
data_AlCu5Si2
_cell_length_a 5.170
_cell_length_b 10.208
_cell_length_c 3.656
_cell_angle_alpha 90.00
_cell_angle_beta 90.00
_cell_angle_gamma 90.00
_symmetry_space_group_name_H-M 'P b a m'
_symmetry_Int_Tables_number 55
loop_
_symmetry_equiv_pos_as_xyz
'x,y,z'
'-x,-y,-z'
'-x,-y,z'
'x,y,-z'
'x+1/2,-y+1/2,-z'
'-x+1/2,y+1/2,z'
'-x+1/2,y+1/2,-z'
'x+1/2,-y+1/2,z'
loop_
_atom_site_label
_atom_site_fract_x
_atom_site_fract_y
_atom_site_fract_z
Al1 0.000 0.000 0.000
Cu1 0.000 0.500 0.000
Cu2 0.003 0.250 0.000
Cu3 0.246 0.876 0.500
Si1 0.235 0.631 0.500
```

Calculated values
The value obtained for the uncorrected energy is -4.7501 eV/atom.

***

VASP calculation (PBEsol) on a relaxed RbBi3Se crystal.

The structure in CIF format:
```
data_RbBi3Se
_cell_length_a 5.980
_cell_length_b 5.980
_cell_length_c 5.980
_cell_angle_alpha 90.00
_cell_angle_beta 90.00
_cell_angle_gamma 90.00
_symmetry_space_group_name_H-M 'P m -3 m'
_symmetry_Int_Tables_number 221
_symmetry_space_group_name_Hall '-P 4 2 3'
loop_
_atom_site_label
_atom_site_fract_x
_atom_site_fract_y
_atom_site_fract_z
Rb1 0.000 0.000 0.000
Bi1 0.000 0.000 0.500
Se1 0.500 0.500 0.500
```

Calculated values
The value obtained for the uncorrected energy is -1.9946 eV/atom.

***

VASP calculation (PBEsol) on a relaxed SrTc2Os crystal.

The structure in CIF format:
```
data_SrTc2Os
_cell_length_a 4.737
_cell_length_b 4.737
_cell_length_c 2.944
_cell_angle_alpha 90.00
_cell_angle_beta 90.00
_cell_angle_gamma 90.00
_symmetry_space_group_name_H-M 'P 4/m m m'
_symmetry_Int_Tables_number 123
_symmetry_space_group_name_Hall '-P 4 2'
loop_
_atom_site_label
_atom_site_fract_x
_atom_site_fract_y
_atom_site_fract_z
Sr1 0.000 0.000 0.000
Tc1 0.000 0.500 0.500
Os1 0.500 0.500 0.000
```

Calculated values
Its excess energy over the best structure of this formula in the dataset is 299 meV/atom. The value obtained for the formation energy is 4.481 eV per formula unit.

***

VASP calculation (PBEsol) on a relaxed SrRh3 crystal.

The structure in CIF format:
```
data_SrRh3
_cell_length_a 6.488
_cell_length_b 6.488
_cell_length_c 6.488
_cell_angle_alpha 90.00
_cell_angle_beta 90.00
_cell_angle_gamma 90.00
_symmetry_space_group_name_H-M 'F m -3 m'
_symmetry_Int_Tables_number 225
_symmetry_space_group_name_Hall '-F 4 2 3'
loop_
_atom_site_label
_atom_site_fract_x
_atom_site_fract_y
_atom_site_fract_z
Sr1 0.000 0.000 0.000
Rh1 0.000 0.000 0.500
Rh2 0.250 0.250 0.250
```

Calculated values
The value obtained for the formation energy is 1.753 eV per formula unit.

***

VASP calculation (PBEsol) on a relaxed Y3In crystal.

The structure in CIF format:
```
data_Y3In
_cell_length_a 3.566
_cell_length_b 4.650
_cell_length_c 6.700
_cell_angle_alpha 90.00
_cell_angle_beta 90.00
_cell_angle_gamma 90.00
_symmetry_space_group_name_H-M 'P m m m'
_symmetry_Int_Tables_number 47
loop_
_symmetry_equiv_pos_as_xyz
'x,y,z'
'-x,-y,-z'
'-x,-y,z'
'x,y,-z'
'x,-y,-z'
'-x,y,z'
'-x,y,-z'
'x,-y,z'
loop_
_atom_site_label
_atom_site_fract_x
_atom_site_fract_y
_atom_site_fract_z
Y1 0.000 0.000 0.000
Y2 0.500 0.500 0.258
In1 0.000 0.000 0.500
```

Calculated values
The value obtained for the formation energy is -0.981 eV per formula unit.

***

VASP calculation (PBEsol) on a relaxed TlFeRuPb2 crystal.

The structure in CIF format:
```
data_TlFeRuPb2
_cell_length_a 5.148
_cell_length_b 5.148
_cell_length_c 5.185
_cell_angle_alpha 90.00
_cell_angle_beta 90.00
_cell_angle_gamma 90.00
_symmetry_space_group_name_H-M 'P 4/m m m'
_symmetry_Int_Tables_number 123
_symmetry_space_group_name_Hall '-P 4 2'
loop_
_atom_site_label
_atom_site_fract_x
_atom_site_fract_y
_atom_site_fract_z
Tl1 0.000 0.000 0.000
Fe1 0.500 0.500 0.000
Ru1 0.000 0.000 0.500
Pb1 0.000 0.500 0.500
```

Calculated values
The value obtained for the formation energy is 4.825 eV per formula unit.

***

VASP calculation (PBEsol) on a relaxed Dy2WO6 crystal.

The structure in CIF format:
```
data_Dy2WO6
_cell_length_a 5.200
_cell_length_b 9.019
_cell_length_c 9.827
_cell_angle_alpha 90.00
_cell_angle_beta 90.00
_cell_angle_gamma 90.00
_symmetry_space_group_name_H-M 'P 21 21 21'
_symmetry_Int_Tables_number 19
loop_
_symmetry_equiv_pos_as_xyz
'x,y,z'
'-x+1/2,-y,z+1/2'
'x+1/2,-y+1/2,-z'
'-x,y+1/2,-z+1/2'
loop_
_atom_site_label
_atom_site_fract_x
_atom_site_fract_y
_atom_site_fract_z
Dy1 0.021 0.103 0.466
Dy2 0.039 0.220 0.873
W1 0.040 0.496 0.347
O1 0.080 0.843 0.029
O2 0.177 0.953 0.297
O3 0.178 0.637 0.819
O4 0.192 0.642 0.235
O5 0.232 0.113 0.066
O6 0.250 0.409 0.994
```

Calculated values
Its excess energy over the best structure of this formula in the dataset is 18 meV/atom.

***

VASP calculation (PBEsol) on a relaxed SrCdCo2 crystal.

The structure in CIF format:
```
data_SrCdCo2
_cell_length_a 4.0834
_cell_length_b 4.0834
_cell_length_c 17.1887
_cell_angle_alpha 90.00
_cell_angle_beta 90.00
_cell_angle_gamma 120.00
_symmetry_space_group_name_H-M 'R 3 m'
_symmetry_Int_Tables_number 160
_symmetry_space_group_name_Hall 'R 3 -2"'
loop_
_atom_site_label
_atom_site_fract_x
_atom_site_fract_y
_atom_site_fract_z
Sr1 0.0000 0.0000 0.0000
Cd1 0.0000 0.0000 0.1942
Co1 0.0000 0.0000 0.4604
Co2 0.0000 0.0000 0.7927
```

Calculated values
The value obtained for the formation energy is 0.725 eV per formula unit.

***

Q: What is the formula in the third record?
A: AlCu5Si2